Below is crystalline Rb12Pt3F5 at its relaxed geometry, with properties calculated at the PBE level. Values from VASP.

Output
As for the energy relative to the elements, uncorrected: -1.271 eV/atom. The crystal system is cubic. Its volume is 2881.0 Å³/cell. Its density is 3.93 g/cm3.

```
&SYSTEM
  ibrav = 0, nat = 80, ntyp = 3
/
ATOMIC_SPECIES
Rb 85.47 Rb.upf
Pt 195.08 Pt.upf
F 19.00 F.upf
CELL_PARAMETERS angstrom
-8.964 8.964 8.964
8.964 -8.964 8.964
8.964 8.964 -8.964
ATOMIC_POSITIONS crystal
Rb 0.030 0.208 0.126
Rb 0.030 0.322 0.904
Rb 0.082 0.708 0.678
Rb 0.082 0.874 0.404
Rb 0.096 0.626 0.418
Rb 0.096 0.970 0.678
Rb 0.126 0.030 0.208
Rb 0.126 0.596 0.918
Rb 0.178 0.208 0.582
Rb 0.178 0.470 0.596
Rb 0.208 0.126 0.030
Rb 0.208 0.582 0.178
Rb 0.292 0.322 0.918
Rb 0.292 0.470 0.374
Rb 0.322 0.904 0.030
Rb 0.322 0.918 0.292
Rb 0.374 0.292 0.470
Rb 0.374 0.582 0.904
Rb 0.404 0.082 0.874
Rb 0.404 0.822 0.530
Rb 0.418 0.096 0.626
Rb 0.418 0.822 0.792
Rb 0.470 0.374 0.292
Rb 0.470 0.596 0.178
Rb 0.530 0.404 0.822
Rb 0.530 0.626 0.708
Rb 0.582 0.178 0.208
Rb 0.582 0.904 0.374
Rb 0.596 0.178 0.470
Rb 0.596 0.918 0.126
Rb 0.626 0.418 0.096
Rb 0.626 0.708 0.530
Rb 0.678 0.082 0.708
Rb 0.678 0.096 0.970
Rb 0.708 0.530 0.626
Rb 0.708 0.678 0.082
Rb 0.792 0.418 0.822
Rb 0.792 0.874 0.970
Rb 0.822 0.530 0.404
Rb 0.822 0.792 0.418
Rb 0.874 0.404 0.082
Rb 0.874 0.970 0.792
Rb 0.904 0.030 0.322
Rb 0.904 0.374 0.582
Rb 0.918 0.126 0.596
Rb 0.918 0.292 0.322
Rb 0.970 0.678 0.096
Rb 0.970 0.792 0.874
Pt 0.125 0.250 0.375
Pt 0.125 0.375 0.750
Pt 0.250 0.375 0.125
Pt 0.250 0.875 0.625
Pt 0.375 0.125 0.250
Pt 0.375 0.750 0.125
Pt 0.625 0.250 0.875
Pt 0.625 0.875 0.750
Pt 0.750 0.125 0.375
Pt 0.750 0.625 0.875
Pt 0.875 0.625 0.250
Pt 0.875 0.750 0.625
F 0.000 0.000 0.000
F 0.000 0.000 0.500
F 0.000 0.500 0.000
F 0.000 0.500 0.500
F 0.125 0.750 0.875
F 0.125 0.875 0.250
F 0.250 0.125 0.875
F 0.250 0.625 0.375
F 0.375 0.250 0.625
F 0.375 0.625 0.750
F 0.500 0.000 0.000
F 0.500 0.000 0.500
F 0.500 0.500 0.000
F 0.500 0.500 0.500
F 0.625 0.375 0.250
F 0.625 0.750 0.375
F 0.750 0.375 0.625
F 0.750 0.875 0.125
F 0.875 0.125 0.750
F 0.875 0.250 0.125
```